Record 1
# Sm11Tl9Cu4, optimized geometry, DFT PBE-GGA
data_Sm11Tl9Cu4
_chemical_formula_sum 'Sm11 Tl9 Cu4'
_symmetry_space_group_name_H-M 'P 1'
_symmetry_Int_Tables_number 1
_cell_length_a 3.8225
_cell_length_b 13.4174
_cell_length_c 13.4174
_cell_angle_alpha 112.75
_cell_angle_beta 90.00
_cell_angle_gamma 90.00
loop_
_symmetry_equiv_pos_as_xyz
'x,y,z'
loop_
_atom_site_label
_atom_site_fract_x
_atom_site_fract_y
_atom_site_fract_z
_atom_site_occupancy
Tl1 0.5000 0.1545 0.6298 1
Sm1 0.0000 0.1636 0.8364 1
Sm2 0.0000 0.6929 0.6929 1
Cu1 0.5000 0.2524 0.4499 1
Sm3 0.0000 0.0000 0.0000 1
Sm4 0.0000 0.8364 0.1636 1
Cu2 0.5000 0.7476 0.5501 1
Tl2 0.5000 0.5000 0.5000 1
Tl3 0.5000 0.2172 0.0709 1
Sm5 0.0000 0.4154 0.0772 1
Sm6 0.0000 0.3071 0.3071 1
Cu3 0.5000 0.5501 0.7476 1
Tl4 0.5000 0.8455 0.3702 1
Tl5 0.5000 0.9291 0.7828 1
Sm7 0.0000 0.5846 0.9228 1
Tl6 0.5000 0.0709 0.2172 1
Tl7 0.5000 0.3702 0.8455 1
Cu4 0.5000 0.4499 0.2524 1
Sm8 0.0000 0.9228 0.5846 1
Sm9 0.0000 0.6280 0.3720 1
Sm10 0.0000 0.3720 0.6280 1
Tl8 0.5000 0.6298 0.1545 1
Tl9 0.5000 0.7828 0.9291 1
Sm11 0.0000 0.0772 0.4154 1
# ΔE_f, eV per atom: -0.3280
# Symmetry: Cmmm (65)
# DOS at the Fermi energy, states/eV per cell: 19.52

=====

Record 2
# KNiAsCl6, optimized geometry, DFT PBE-GGA
data_KNiAsCl6
_chemical_formula_sum 'K1 Ni1 As1 Cl6'
_symmetry_space_group_name_H-M 'P 1'
_symmetry_Int_Tables_number 1
_cell_length_a 6.4272
_cell_length_b 6.4273
_cell_length_c 7.0387
_cell_angle_alpha 90.00
_cell_angle_beta 90.00
_cell_angle_gamma 60.00
loop_
_symmetry_equiv_pos_as_xyz
'x,y,z'
loop_
_atom_site_label
_atom_site_fract_x
_atom_site_fract_y
_atom_site_fract_z
_atom_site_occupancy
Cl1 0.6360 0.9872 0.3012 1
Cl2 0.6360 0.3768 0.6988 1
Cl3 0.3767 0.9872 0.6988 1
Cl4 0.3767 0.6360 0.3012 1
Ni1 0.6666 0.6667 0.5000 1
K1 0.0000 0.0000 0.0000 1
Cl5 0.9872 0.3768 0.3012 1
As1 0.3333 0.3333 0.5000 1
Cl6 0.9872 0.6360 0.6988 1
# Symmetry: P312 (149)
# E, eV for the cell shown: -30.86

=====

Record 3
# LiHf8N8O4, optimized geometry, DFT PBE-GGA
data_LiHf8N8O4
_chemical_formula_sum 'Li1 Hf8 N8 O4'
_symmetry_space_group_name_H-M 'P 1'
_symmetry_Int_Tables_number 1
_cell_length_a 5.4023
_cell_length_b 5.4479
_cell_length_c 10.5347
_cell_angle_alpha 76.00
_cell_angle_beta 75.87
_cell_angle_gamma 60.39
loop_
_symmetry_equiv_pos_as_xyz
'x,y,z'
loop_
_atom_site_label
_atom_site_fract_x
_atom_site_fract_y
_atom_site_fract_z
_atom_site_occupancy
Li1 0.0229 0.9964 0.9975 1
Hf1 0.5913 0.5432 0.2738 1
Hf2 0.9248 0.8904 0.2378 1
N1 0.4456 0.8003 0.6225 1
N2 0.0960 0.6731 0.8769 1
N3 0.3417 0.6291 0.1185 1
Hf3 0.4479 0.3991 0.7198 1
O1 0.1497 0.4159 0.6170 1
Hf4 0.8194 0.8126 0.5347 1
Hf5 0.1914 0.1657 0.4590 1
Hf6 0.1076 0.0361 0.7566 1
Hf7 0.6767 0.7015 0.9586 1
O2 0.2144 0.8500 0.3720 1
N4 0.3733 0.0758 0.8726 1
O3 0.7114 0.3523 0.8762 1
N5 0.6650 0.9163 0.1120 1
N6 0.5974 0.1610 0.3784 1
O4 0.9584 0.2884 0.1253 1
Hf8 0.3299 0.3234 0.0339 1
N7 0.8958 0.5545 0.3713 1
N8 0.8370 0.1220 0.6168 1
# Symmetry: P1 (1)
# Energy above the most stable polymorph in this dataset, meV per atom: 3
# DOS at the Fermi energy, states/eV per cell: 5.31

=====

Record 4
# TbGd2Ga, optimized geometry, DFT PBE-GGA
data_TbGd2Ga
_chemical_formula_sum 'Tb1 Gd2 Ga1'
_symmetry_space_group_name_H-M 'P 1'
_symmetry_Int_Tables_number 1
_cell_length_a 3.5423
_cell_length_b 3.5423
_cell_length_c 8.9791
_cell_angle_alpha 90.00
_cell_angle_beta 90.00
_cell_angle_gamma 90.00
loop_
_symmetry_equiv_pos_as_xyz
'x,y,z'
loop_
_atom_site_label
_atom_site_fract_x
_atom_site_fract_y
_atom_site_fract_z
_atom_site_occupancy
Tb1 0.5000 0.5000 0.5000 1
Gd1 0.0000 0.0000 0.2103 1
Ga1 0.5000 0.5000 0.0000 1
Gd2 0.0000 0.0000 0.7897 1
# ΔE_f, eV per atom: -0.2672
# Symmetry: P4/mmm (123)
# Energy above the most stable polymorph in this dataset, meV per atom: 0
# DOS at the Fermi energy, states/eV per cell: 5.34

=====

Record 5
# DySc2Ag, optimized geometry, DFT PBE-GGA
data_DySc2Ag
_chemical_formula_sum 'Dy1 Sc2 Ag1'
_symmetry_space_group_name_H-M 'P 1'
_symmetry_Int_Tables_number 1
_cell_length_a 5.1037
_cell_length_b 5.1037
_cell_length_c 5.1055
_cell_angle_alpha 60.01
_cell_angle_beta 60.01
_cell_angle_gamma 60.00
loop_
_symmetry_equiv_pos_as_xyz
'x,y,z'
loop_
_atom_site_label
_atom_site_fract_x
_atom_site_fract_y
_atom_site_fract_z
_atom_site_occupancy
Ag1 0.5000 0.5000 0.5000 1
Sc1 0.7502 0.7502 0.7495 1
Dy1 0.0000 0.0000 0.0000 1
Sc2 0.2498 0.2498 0.2505 1
# ΔE_f, eV per atom: 0.0954
# Symmetry: Fm-3m (225)
# Energy above the most stable polymorph in this dataset, meV per atom: 200
# DOS at the Fermi energy, states/eV per cell: 6.20

=====

Record 6
# TaCdSiN2, optimized geometry, DFT PBE-GGA
data_TaCdSiN2
_chemical_formula_sum 'Ta1 Cd1 Si1 N2'
_symmetry_space_group_name_H-M 'P 1'
_symmetry_Int_Tables_number 1
_cell_length_a 4.0039
_cell_length_b 5.7800
_cell_length_c 4.0039
_cell_angle_alpha 90.00
_cell_angle_beta 90.00
_cell_angle_gamma 90.00
loop_
_symmetry_equiv_pos_as_xyz
'x,y,z'
loop_
_atom_site_label
_atom_site_fract_x
_atom_site_fract_y
_atom_site_fract_z
_atom_site_occupancy
N1 0.5000 0.0000 0.0000 1
Si1 0.5000 0.5000 0.5000 1
Ta1 0.0000 0.0000 0.0000 1
Cd1 0.0000 0.5000 0.0000 1
N2 0.0000 0.0000 0.5000 1
# Symmetry: P4/mmm (123)
# E, eV for the cell shown: -31.29
# DOS at the Fermi energy, states/eV per cell: 2.74

=====

Please write out number 2 again, unchanged.
# KNiAsCl6, optimized geometry, DFT PBE-GGA
data_KNiAsCl6
_chemical_formula_sum 'K1 Ni1 As1 Cl6'
_symmetry_space_group_name_H-M 'P 1'
_symmetry_Int_Tables_number 1
_cell_length_a 6.4272
_cell_length_b 6.4273
_cell_length_c 7.0387
_cell_angle_alpha 90.00
_cell_angle_beta 90.00
_cell_angle_gamma 60.00
loop_
_symmetry_equiv_pos_as_xyz
'x,y,z'
loop_
_atom_site_label
_atom_site_fract_x
_atom_site_fract_y
_atom_site_fract_z
_atom_site_occupancy
Cl1 0.6360 0.9872 0.3012 1
Cl2 0.6360 0.3768 0.6988 1
Cl3 0.3767 0.9872 0.6988 1
Cl4 0.3767 0.6360 0.3012 1
Ni1 0.6666 0.6667 0.5000 1
K1 0.0000 0.0000 0.0000 1
Cl5 0.9872 0.3768 0.3012 1
As1 0.3333 0.3333 0.5000 1
Cl6 0.9872 0.6360 0.6988 1
# Symmetry: P312 (149)
# E, eV for the cell shown: -30.86